VASP calculation (PBE) on a relaxed structure of PuNiH.

For the total energy, the calculation gives -46.28 eV/cell. The density comes out at 10.726 g/cm3. The calculation puts the magnetic moment at 5.1 μB/f.u.

It has space group I4mm (No. 107), with a = 3.7220 Å, b = 3.7220 Å, c = 6.7875 Å, α = 90.00°, β = 90.00° and γ = 90.00°. The inequivalent atoms are Pu at (0.0000, 0.0000, 0.0000), Ni at (0.0000, 0.0000, 0.5725) and H at (0.0000, 0.0000, 0.3427).

***

VASP calculation (PBE) on a relaxed structure of PuNi6H12.

For the total energy, the calculation gives -272.77 eV/cell. The density comes out at 7.043 g/cm3. The calculation puts the magnetic moment at 5.5 μB/f.u.

It has space group R-3 (No. 148, hexagonal axes), with a = 9.0246 Å, b = 9.0246 Å, c = 6.0993 Å, α = 90.00°, β = 90.00° and γ = 120.00°. The inequivalent atoms are Pu at (0.0000, 0.0000, 0.0000), Ni at (0.0180, 0.5824, 0.1736), H at (0.0334, 0.6022, 0.6895) and H at (0.0427, 0.1898, 0.3359).

***

VASP calculation (PBE) on a relaxed structure of Pu3Ni2H7.

For the total energy, the calculation gives -162.46 eV/cell. The density comes out at 11.574 g/cm3. The calculation puts the magnetic moment at 6.7 μB/f.u.

It has space group I4/mmm (No. 139), with a = 3.5499 Å, b = 3.5499 Å, c = 19.5008 Å, α = 90.00°, β = 90.00° and γ = 90.00°. The inequivalent atoms are Pu at (0.0000, 0.0000, 0.0000), Pu at (0.0000, 0.0000, 0.1846), Ni at (0.0000, 0.0000, 0.4067), H at (0.0000, 0.0000, 0.3152), H at (0.0000, 0.0000, 0.5000) and H at (0.0000, 0.5000, 0.0920).

***

VASP calculation (PBE) on a relaxed structure of Pu2NiH.

For the total energy, the calculation gives -37.79 eV/cell. The density comes out at 13.809 g/cm3. The calculation puts the magnetic moment at 11.5 μB/f.u.

It has space group P4/mmm (No. 123), with a = 3.0912 Å, b = 3.0912 Å, c = 6.8926 Å, α = 90.00°, β = 90.00° and γ = 90.00°. The inequivalent atoms are Pu at (0.0000, 0.0000, 0.2304), Ni at (0.5000, 0.5000, 0.5000) and H at (0.5000, 0.5000, 0.0000).

***

VASP calculation (PBE) on a relaxed structure of PuNi7H12.

For the total energy, the calculation gives -284.47 eV/cell. The density comes out at 7.411 g/cm3. The calculation puts the magnetic moment at 5.4 μB/f.u.

It has space group R-3 (No. 148, hexagonal axes), with a = 7.6866 Å, b = 7.6866 Å, c = 8.7618 Å, α = 90.00°, β = 90.00° and γ = 120.00°. The inequivalent atoms are Pu at (0.0000, 0.0000, 0.0000), Ni at (0.0000, 0.0000, 0.5000), Ni at (0.0692, 0.2305, 0.7169), H at (0.0237, 0.2871, 0.8956) and H at (0.0517, 0.1931, 0.3825).

***

VASP calculation (PBE) on a relaxed structure of Pu3Ni2H7.

For the total energy, the calculation gives -161.93 eV/cell. The density comes out at 11.119 g/cm3. The calculation puts the magnetic moment at 5.1 μB/f.u.

It has space group Cmmm (No. 65), with a = 3.7123 Å, b = 17.7622 Å, c = 3.8794 Å, α = 90.00°, β = 90.00° and γ = 90.00°. The inequivalent atoms are Pu at (0.0000, 0.0000, 0.0000), Pu at (0.0000, 0.3606, 0.5000), Ni at (0.0000, 0.2026, 0.0000), H at (0.0000, 0.0700, 0.5000), H at (0.0000, 0.2951, 0.0000), H at (0.0000, 0.4266, 0.0000) and H at (0.0000, 0.5000, 0.5000).